[1]
Sm8CoC3Cl4 | PBE-GGA | optimized geometry

Summary:
**D(E_F)**: 7.2 states/eV/f.u.
**Total magnetic moment**: 0.0 μB/cell

Lattice parameters (Å, degrees): 7.6164 7.6164 21.0707 90.00 90.00 120.00
Space group R-3m (No. 166, hexagonal axes)
One atom of each set of equivalent atoms:
Sm 0.0000 0.0000 0.2302
Sm 0.0117 0.5058 0.7684
Co 0.0000 0.0000 0.5000
C 0.0000 0.5000 0.5000
Cl 0.0000 0.0000 0.0000
Cl 0.0000 0.5000 0.0000

---

[2]
Sm6Co2CCl3 | PBE-GGA | optimized geometry

Summary:
**D(E_F)**: 4.0 states/eV/f.u.
**Total magnetic moment**: 0.0 μB/cell

Lattice parameters (Å, degrees): 18.869 3.813 8.547 90.00 111.92 90.00
Space group C2/m (No. 12)
One atom of each set of equivalent atoms:
Sm 0.012 0.000 0.213
Sm 0.148 0.500 0.124
Sm 0.171 0.500 0.570
Co 0.171 0.000 0.356
C 0.000 0.500 0.000
Cl 0.000 0.500 0.500
Cl 0.157 0.000 0.848

---

[3]
Sm4CoCCl2 | PBE-GGA | optimized geometry

Summary:
**D(E_F)**: 6.2 states/eV/f.u.
**Total magnetic moment**: 0.0 μB/cell

Lattice parameters (Å, degrees): 6.924 3.753 7.477 90.00 106.97 90.00
Space group P2/m (No. 10)
One atom of each set of equivalent atoms:
Sm 0.215 0.000 0.191
Sm 0.262 0.500 0.806
Co 0.500 0.000 0.000
C 0.000 0.500 0.000
Cl 0.000 0.000 0.500
Cl 0.500 0.500 0.500

---

[4]
Th6Co3C2Cl | PBE-GGA | optimized geometry

Summary:
**D(E_F)**: 6.5 states/eV/f.u.
**Total magnetic moment**: 0.0 μB/cell

Lattice parameters (Å, degrees): 16.832 3.851 8.372 90.00 105.35 90.00
Space group C2/m (No. 12)
One atom of each set of equivalent atoms:
Th 0.007 0.000 0.273
Th 0.169 0.500 0.569
Th 0.182 0.500 0.109
Co 0.000 0.500 0.500
Co 0.159 0.000 0.831
C 0.166 0.000 0.327
Cl 0.000 0.500 0.000

---

[5]
CrC2Cl2 | PBE-GGA | optimized geometry

Summary:
**D(E_F)**: 1.1 states/eV/f.u.
**Total magnetic moment**: 6.2 μB/cell

Lattice parameters (Å, degrees): 6.186 6.186 5.171 90.00 90.00 90.00
Space group I4/mmm (No. 139)
One atom of each set of equivalent atoms:
Cr 0.000 0.000 0.000
C 0.000 0.000 0.377
Cl 0.000 0.500 0.250

---

[6]
CrC2Cl | PBE-GGA | optimized geometry

Summary:
**D(E_F)**: 5.1 states/eV/f.u.
**Total magnetic moment**: 0.0 μB/cell

Lattice parameters (Å, degrees): 5.417 5.417 5.417 90.00 90.00 90.00
Space group Fm-3m (No. 225)
One atom of each set of equivalent atoms:
Cr 0.000 0.000 0.000
C 0.250 0.250 0.250
Cl 0.000 0.000 0.500

---

[7]
CrC2Cl2 | PBE-GGA | optimized geometry

Summary:
**D(E_F)**: 3.7 states/eV/f.u.
**Total magnetic moment**: 0.0 μB/cell

Lattice parameters (Å, degrees): 5.709 5.709 4.332 90.00 90.00 90.00
Space group P4/mbm (No. 127)
One atom of each set of equivalent atoms:
Cr 0.000 0.000 0.000
C 0.240 0.260 0.000
Cl 0.205 0.295 0.500

---

[8]
CrC2Cl | PBE-GGA | optimized geometry

Summary:
**D(E_F)**: 3.4 states/eV/f.u.
**Total magnetic moment**: 0.0 μB/cell

Lattice parameters (Å, degrees): 5.048 5.048 9.331 90.00 90.00 90.00
Space group I-42d (No. 122)
One atom of each set of equivalent atoms:
Cr 0.000 0.000 0.000
C 0.128 0.250 0.125
Cl 0.000 0.000 0.500

---

The uncorrected formation energy results, record by record, are as follows: -0.94, -0.87, -0.87, -0.33, 0.98, 2.74, 1.58, 1.49 eV/atom.
The total DFT energy (no corrections) results, record by record, are as follows: -5.93, -5.65, -5.73, -7.51, -5.37, -4.74, -4.78, -5.99 eV/atom.